DFT (PBE with a Hubbard U) results for a geometry-optimized ScCr2F structure.

## Properties
V, Å³ per cell: 317.4

Lattice parameters (Å, degrees): 6.822 6.822 6.822 90.00 90.00 90.00
Space group Fm-3m (No. 225)
One atom of each set of equivalent atoms:
Sc1 0.000 0.000 0.000 x4
Cr1 0.250 0.250 0.250 x8
F1 0.000 0.000 0.500 x4

---

DFT (PBE with a Hubbard U) results for a geometry-optimized LiV2F structure.

## Properties
V, Å³ per cell: 275.8

Lattice parameters (Å, degrees): 6.510 6.510 6.510 90.00 90.00 90.00
Space group Fm-3m (No. 225)
One atom of each set of equivalent atoms:
Li1 0.000 0.000 0.000 x4
V1 0.250 0.250 0.250 x8
F1 0.000 0.000 0.500 x4

---

Respective E_tot values: -89.164 -63.870 eV per cell.